1.
Below is an optimized crystal structure of Ti2Pd4Au, with properties calculated at the GGA-PBE level.

Properties
M_tot = 0.071 μB per atom
total energy = -5.19 eV/atom
D(E_F) = 0.98 states/eV/atom
calculated volume = 21.783 A^3/atom
E above lowest polymorph = 1001 meV per atom
formation energy = 48 kJ/mol of atoms

abc: 4.939 4.939 12.500
angles: 90.00 90.00 90.00
Space group I4/mmm (No. 139)
One atom of each set of equivalent atoms:
Ti (0.000, 0.000, 0.101)
Pd (0.000, 0.000, 0.284)
Pd (0.000, 0.500, 0.000)
Au (0.000, 0.000, 0.500)

***

2.
Below is an optimized crystal structure of TiPd2Au2, with properties calculated at the GGA-PBE level.

Properties
M_tot = 0.114 μB per atom
total energy = -5.14 eV/atom
D(E_F) = 0.85 states/eV/atom
calculated volume = 17.546 A^3/atom
E above lowest polymorph = 237 meV per atom
formation energy = -16 kJ/mol of atoms

abc: 6.645 6.645 3.973
angles: 90.00 90.00 90.00
Space group P4/mbm (No. 127)
One atom of each set of equivalent atoms:
Ti (0.000, 0.000, 0.000)
Pd (0.142, 0.358, 0.000)
Au (0.160, 0.660, 0.500)

***

3.
Below is an optimized crystal structure of Ti2Pd2Au, with properties calculated at the GGA-PBE level.

Properties
M_tot = 0.000 μB per atom
total energy = -6.02 eV/atom
D(E_F) = 1.24 states/eV/atom
calculated volume = 18.441 A^3/atom
E above lowest polymorph = 350 meV per atom
formation energy = -12 kJ/mol of atoms

abc: 4.820 7.172 5.360
angles: 90.00 95.63 90.00
Space group C2/m (No. 12)
One atom of each set of equivalent atoms:
Ti (0.036, 0.000, 0.268)
Pd (0.000, 0.319, 0.500)
Au (0.000, 0.500, 0.000)

***

4.
Below is an optimized crystal structure of TiPdAu4, with properties calculated at the GGA-PBE level.

Properties
M_tot = 0.000 μB per atom
total energy = -4.62 eV/atom
D(E_F) = 0.58 states/eV/atom
calculated volume = 17.014 A^3/atom
E above lowest polymorph = 0 meV per atom
formation energy = -25 kJ/mol of atoms

abc: 5.028 8.675 5.021
angles: 90.00 111.21 90.00
Space group C2/m (No. 12)
One atom of each set of equivalent atoms:
Ti (0.000, 0.000, 0.000)
Pd (0.000, 0.500, 0.500)
Au (0.000, 0.162, 0.500)
Au (0.000, 0.334, 0.000)

***

5.
Below is an optimized crystal structure of TiPd2Au, with properties calculated at the GGA-PBE level.

Properties
M_tot = 0.000 μB per atom
total energy = -5.54 eV/atom
D(E_F) = 0.68 states/eV/atom
calculated volume = 17.479 A^3/atom
formation energy = -14 kJ/mol of atoms

abc: 7.113 7.113 5.528
angles: 90.00 90.00 90.00
Space group I-42d (No. 122)
One atom of each set of equivalent atoms:
Ti (0.000, 0.000, 0.000)
Pd (0.221, 0.250, 0.125)
Au (0.000, 0.000, 0.500)

***

6.
Below is an optimized crystal structure of TiPd5Au, with properties calculated at the GGA-PBE level.

Properties
M_tot = 0.000 μB per atom
total energy = -5.53 eV/atom
D(E_F) = 0.57 states/eV/atom
calculated volume = 16.675 A^3/atom
E above lowest polymorph = 0 meV per atom
formation energy = -22 kJ/mol of atoms

abc: 4.006 4.006 7.275
angles: 90.00 90.00 90.00
Space group P4/mmm (No. 123)
One atom of each set of equivalent atoms:
Ti (0.000, 0.000, 0.000)
Pd (0.000, 0.000, 0.500)
Pd (0.000, 0.500, 0.215)
Au (0.500, 0.500, 0.500)